Entry 1:
DFT (PBE-GGA) results for an optimized crystal structure of CaGdAgIr.

Results
Its space-group type is F-43m. Its calculated density is 9.35 g cm⁻³. The value obtained for the energy of formation is -9.69 kcal/mol of atoms. The magnetization comes out at 7.07 μB/f.u.

Cell: 5.000 5.000 5.000 Å, 60.00 60.00 60.00°
Each line ends with the local moment (μB).
Element x y z (fractional)
Gd 0.000 0.000 0.000  7.01
Ca 0.500 0.500 0.500  0.00
Ir 0.750 0.750 0.750  -0.07
Ag 0.250 0.250 0.250  0.00



Entry 2:
DFT (PBE-GGA) results for an optimized crystal structure of CaCuIr2.

Results
Its space-group type is Pm. Its calculated density is 12.25 g cm⁻³. The value obtained for the energy of formation is 0.53 kcal/mol of atoms. The magnetization comes out at 0.00 μB/f.u.

Cell: 4.376 2.866 5.447 Å, 75.67 90.00 90.00°
Element x y z (fractional)
Ca 0.000 0.528 0.544
Ir 0.000 0.804 0.036
Ir 0.500 0.235 0.170
Cu 0.500 0.933 0.750



Which uncorrected energy belongs to each record? In order, -7.369 -5.932 eV/atom.